Material: PmCuHgPd
Method: DFT, PBE
State: relaxed

Unit cell a=4.852 b=4.852 c=4.852 alpha=60.00 beta=60.00 gamma=60.00
Element x y z (fractional)
Pm1 0.000 0.000 0.000
Cu1 0.750 0.750 0.750
Hg1 0.500 0.500 0.500
Pd1 0.250 0.250 0.250

Calculated values
The value obtained for the formation energy is -0.3826 eV per atom. Its crystal system is cubic. The calculation puts the total energy at -3.968 eV/atom. Its mass density is 10.60 Mg/m³.